RbAsO3 | Alexandria via LeMat-Bulk | PBE | optimized geometry; calculated volume = 19.33 Å³ per atom; ΔE_f (raw) = -1.506 eV per atom
1.0
6.555 0.047 -0.272
3.262 5.786 -0.135
-0.251 -0.016 5.128
O As Rb
6 2 2
Cartesian
0.667 0.912 3.354
2.683 4.770 4.694
4.890 1.624 3.479
7.354 1.612 0.521
6.137 3.551 2.004
5.010 0.985 0.912
6.124 1.864 2.000
5.989 0.718 4.561
2.834 3.399 2.128
5.985 4.922 4.570